## Ni7Bi (GGA-PBE)

Data for a relaxed Ni7Bi crystal.

Cell lengths 2.832, 3.236, 33.654 Å; angles 90.00, 90.00, 90.00 degrees
Element x y z (fractional)
Ni 0.000 0.000 0.000
Ni 0.000 0.000 0.072
Ni 0.000 0.000 0.145
Ni 0.000 0.000 0.218
Ni 0.000 0.000 0.291
Ni 0.000 0.000 0.364
Ni 0.000 0.000 0.438
Ni 0.500 0.500 0.036
Ni 0.500 0.500 0.109
Ni 0.500 0.500 0.182
Ni 0.500 0.500 0.255
Ni 0.500 0.500 0.328
Ni 0.500 0.500 0.400
Ni 0.500 0.500 0.963
Bi 0.000 0.000 0.912
Bi 0.500 0.500 0.488

Values from the calculation:
SG	Pmm2, No. 25
raw total energy	-5.24	eV/atom

***

## ZnCuOsAu (GGA-PBE)

Data for a relaxed ZnCuOsAu crystal.

Cell lengths 6.194, 6.194, 6.194 Å; angles 90.00, 90.00, 90.00 degrees
Element x y z (fractional)
Zn 0.000 0.000 0.000
Zn 0.000 0.500 0.500
Zn 0.500 0.000 0.500
Zn 0.500 0.500 0.000
Cu 0.250 0.250 0.250
Cu 0.250 0.750 0.750
Cu 0.750 0.250 0.750
Cu 0.750 0.750 0.250
Os 0.250 0.250 0.750
Os 0.250 0.750 0.250
Os 0.750 0.250 0.250
Os 0.750 0.750 0.750
Au 0.000 0.000 0.500
Au 0.000 0.500 0.000
Au 0.500 0.000 0.000
Au 0.500 0.500 0.500

Values from the calculation:
excess energy over the best structure of this formula in the dataset	0.0	meV/atom
SG	F-43m, No. 216

***

M_tot list, top to bottom, in μB per formula unit: 2.152 0.614
Ρ list, top to bottom, in g cm⁻³: 6.68 14.43